[1]
10
Lattice="-6.0439 -3.7396 -2.1123 1.5618 -5.3106 4.9329 -1.6919 1.5123 2.1637" Properties=species:S:1:pos:R:3 comment="Sc2PdRh2, optimized geometry, DFT PBE-GGA" formation_energy_ev_per_atom=-0.64 relative_energy_mev_per_atom=133.4 total_energy_ev_per_atom=-7.155 pbc="T T T"
Sc -0.7615 -5.7697 3.4372
Sc -4.0775 -6.6397 1.4524
Sc -3.7206 -3.2804 -0.6165
Sc -0.4046 -2.4104 1.3683
Rh -0.7108 -3.2032 3.9548
Rh -3.4020 -6.1979 3.9435
Rh -5.4631 -4.3347 1.0296
Rh -2.7720 -1.3400 1.0409
Pd 0.0000 0.0000 0.0000
Pd -2.2411 -4.5251 1.4103

=====

[2]
4
Lattice="8.6182 0.0022 0.0013 8.2216 2.5845 0.0013 8.2216 1.2629 2.2549" Properties=species:S:1:pos:R:3 comment="Cr2CoRe, optimized geometry, DFT PBE-GGA" formation_energy_ev_per_atom=0.28 total_energy_ev_per_atom=-9.424 pbc="T T T"
Co 18.7961 2.8872 1.6932
Cr 0.1367 0.0210 0.0123
Cr 12.3940 1.9038 1.1165
Re 6.2654 0.9624 0.5644

=====

[3]
4
Lattice="-2.0051 -2.1508 -2.7907 -0.7961 -3.9468 0.6965 -5.3586 -0.7025 1.6600" Properties=species:S:1:pos:R:3 comment="ZnP, optimized geometry, DFT PBE-GGA" formation_energy_ev_per_atom=-0.10 total_energy_ev_per_atom=-3.438 pbc="T T T"
Zn -5.6770 -2.7476 1.7192
Zn -3.1206 -1.9682 0.9039
P -3.6382 -2.1735 -1.4323
P -6.7702 -2.8044 -0.3464